Density functional theory data (PBE+U) for crystalline LiYMo2O8 at its relaxed geometry.

a = 6.7226 Å, b = 6.7226 Å, c = 6.7226 Å
α = 134.44°, β = 134.44°, γ = 66.39°
Fractional coordinates of all 12 atoms:
1 Li 0.7500 0.2500 0.5000
2 Y 0.5000 0.5000 0.0000
3 Mo 0.2500 0.7500 0.5000
4 Mo 0.0000 0.0000 0.0000
5 O 0.4918 0.0849 0.8988
6 O 0.1860 0.5930 0.1012
7 O 0.8354 0.2444 0.9108
8 O 0.3336 0.9246 0.0892
9 O 0.7556 0.6664 0.5910
10 O 0.0754 0.1646 0.4090
11 O 0.4070 0.5082 0.5930
12 O 0.9151 0.8140 0.4070

## Properties
The polymorph energy (0 for the lowest one) comes out at 0.009 eV/atom. The value obtained for the magnetic moment is 0.0 μB/cell. The space-group type is I-4, No. 82.